(1)
A plane-wave DFT calculation with PBE-GGA was carried out for a relaxed HfRu3C crystal.

```
HfRu3C
1.0
2.512 1.450 6.856
-2.512 1.450 6.856
0.000 -2.901 6.856
Hf Ru C
2 6 2
direct
0.169 0.169 0.169 Hf
0.831 0.831 0.831 Hf
0.050 0.740 0.389 Ru
0.260 0.611 0.950 Ru
0.389 0.050 0.740 Ru
0.611 0.950 0.260 Ru
0.740 0.389 0.050 Ru
0.950 0.260 0.611 Ru
0.334 0.334 0.334 C
0.666 0.666 0.666 C
```

Results
Energy of formation (eV per atom): 0.275
DOS(E_F) (states/eV/atom): 0.748
Volume (Å³ per cell): 149.9
Electronic total energy (eV per atom): -9.126
Space-group type: R-3 (148)

***

(2)
A plane-wave DFT calculation with PBE-GGA was carried out for a relaxed HfRu3C crystal.

```
HfRu3C
1.0
3.281 -6.501 0.000
3.281 6.501 0.000
0.000 0.000 4.724
Hf Ru C
2 6 2
direct
0.192 0.808 0.750 Hf
0.808 0.192 0.250 Hf
0.000 0.000 0.000 Ru
0.000 0.000 0.500 Ru
0.073 0.373 0.750 Ru
0.373 0.073 0.250 Ru
0.627 0.927 0.750 Ru
0.927 0.627 0.250 Ru
0.367 0.633 0.750 C
0.633 0.367 0.250 C
```

Results
Energy of formation (eV per atom): 0.775
DOS(E_F) (states/eV/atom): 1.080
Volume (Å³ per cell): 201.6
Electronic total energy (eV per atom): -8.626
Space-group type: Cmcm (63)

***

(3)
A plane-wave DFT calculation with PBE-GGA was carried out for a relaxed HfRu3C crystal.

```
HfRu3C
1.0
4.656 -2.044 0.000
4.656 2.044 0.000
-3.629 0.000 7.313
Hf Ru C
2 6 2
direct
0.119 0.119 0.198 Hf
0.881 0.881 0.802 Hf
0.137 0.137 0.711 Ru
0.371 0.371 0.058 Ru
0.373 0.373 0.571 Ru
0.627 0.627 0.429 Ru
0.629 0.629 0.942 Ru
0.863 0.863 0.289 Ru
0.388 0.388 0.320 C
0.612 0.612 0.680 C
```

Results
Energy of formation (eV per atom): -0.047
DOS(E_F) (states/eV/atom): 0.953
Volume (Å³ per cell): 139.2
Electronic total energy (eV per atom): -9.448
Space-group type: C2/m (12)